# 1
Entry from Alexandria: an optimized crystal structure of CaSiAs3 (PBE).

Unit cell a=4.8690 b=4.8690 c=4.8690 alpha=90.00 beta=90.00 gamma=90.00
Closest atoms and distances in Å follow each position.
Fractional coordinates of all 5 atoms:
As (0.5000, 0.0000, 0.0000)  2 Si 2.43
As (0.0000, 0.5000, 0.0000)  2 Si 2.43
As (0.0000, 0.0000, 0.5000)  2 Si 2.43
Si (0.0000, 0.0000, 0.0000)  6 As 2.43
Ca (0.5000, 0.5000, 0.5000)  12 As 3.44

E above lowest polymorph in eV per atom: 0.000

***

# 2
Entry from Alexandria: an optimized crystal structure of CaSiAs3 (PBE).

Unit cell a=5.2832 b=5.2832 c=5.2832 alpha=90.00 beta=90.00 gamma=90.00
Closest atoms and distances in Å follow each position.
Fractional coordinates of all 5 atoms:
Ca (0.0000, 0.0000, 0.0000)  6 As 2.64
As (0.5000, 0.0000, 0.0000)  2 Ca 2.64
As (0.0000, 0.5000, 0.0000)  2 Ca 2.64
As (0.0000, 0.0000, 0.5000)  2 Ca 2.64
Si (0.5000, 0.5000, 0.5000)  12 As 3.74

E above lowest polymorph in eV per atom: 1.068

***

# 3
Entry from Alexandria: an optimized crystal structure of Ca2SiAs (PBE).

Unit cell a=6.1505 b=6.1505 c=6.1505 alpha=139.77 beta=139.77 gamma=58.21
Closest atoms and distances in Å follow each position.
Fractional coordinates of all 4 atoms:
As (0.7500, 0.2500, 0.5000)  4 Ca 2.99
Ca (0.2500, 0.7500, 0.5000)  4 As 2.99
Ca (0.0000, 0.0000, 0.0000)  4 Si 2.99
Si (0.5000, 0.5000, 0.0000)  4 Ca 2.99

E above lowest polymorph in eV per atom: 0.120

***

# 4
Entry from Alexandria: an optimized crystal structure of Ca2SiAs (PBE).

Unit cell a=8.8006 b=8.8006 c=8.8006 alpha=24.69 beta=24.69 gamma=24.69
Closest atoms and distances in Å follow each position.
Fractional coordinates of all 4 atoms:
As (0.7500, 0.7500, 0.7500)  6 Ca 2.98
Ca (0.4963, 0.4963, 0.4963)  3 As 2.98, 3 Si 3.11
Ca (0.0037, 0.0037, 0.0037)  3 As 2.98, 3 Si 3.11
Si (0.2500, 0.2500, 0.2500)  6 Ca 3.11

E above lowest polymorph in eV per atom: 0.159

***

# 5
Entry from Alexandria: an optimized crystal structure of Ca2SiAs (PBE).

Unit cell a=5.1134 b=5.1134 c=5.1134 alpha=60.00 beta=60.00 gamma=60.00
Closest atoms and distances in Å follow each position.
Fractional coordinates of all 4 atoms:
Si (0.7500, 0.7500, 0.7500)  4 As 3.13, 4 Ca 3.13
As (0.5000, 0.5000, 0.5000)  4 Si 3.13, 4 Ca 3.13
Ca (0.2500, 0.2500, 0.2500)  4 As 3.13, 4 Ca 3.13
Ca (0.0000, 0.0000, 0.0000)  4 Ca 3.13, 4 Si 3.13

E above lowest polymorph in eV per atom: 0.516

***

# 6
Entry from Alexandria: an optimized crystal structure of Ca11Si9As16 (PBE).

Unit cell a=7.1576 b=7.3075 c=17.6951 alpha=90.27 beta=89.76 gamma=111.48
Closest atoms and distances in Å follow each position.
Fractional coordinates of all 36 atoms:
As (0.2104, 0.0273, 0.8022)  2 Si 2.40-2.46
As (0.7565, 0.4959, 0.0675)  1 Si 2.36
As (0.2412, 0.9996, 0.5713)  2 Si 2.40-2.58
As (0.2329, 0.5131, 0.6960)  2 Si 2.39-2.43
As (0.2554, 0.4989, 0.4334)  1 Si 2.36
As (0.7488, 0.0033, 0.9378)  1 Si 2.36
As (0.2496, 0.9884, 0.0600)  1 Si 2.35
As (0.7679, 0.4921, 0.3040)  2 Si 2.41
As (0.2756, 0.9619, 0.3142)  2 Si 2.40-2.43
As (0.7337, 0.0324, 0.6892)  2 Si 2.41-2.50
As (0.7330, 0.5089, 0.8029)  2 Si 2.38-2.40
As (0.7765, 0.9612, 0.1874)  2 Si 2.39-2.43
As (0.2688, 0.4914, 0.1969)  2 Si 2.41
As (0.2434, 0.4933, 0.9312)  1 Si 2.37
As (0.7505, 0.5059, 0.5692)  1 Si 2.35
As (0.7450, 0.9923, 0.4411)  1 Si 2.35
Ca (0.4887, 0.7760, 0.8149)  6 As 2.95-3.17
Ca (0.4972, 0.7340, 0.0595)  6 As 2.98-3.10
Ca (0.0114, 0.2503, 0.0584)  6 As 2.97-3.18
Ca (0.5111, 0.2154, 0.1837)  6 As 2.96-3.11
Ca (0.4896, 0.7416, 0.5630)  6 As 2.97-3.14
Ca (0.9867, 0.7393, 0.9384)  6 As 2.99-3.22
Ca (0.5029, 0.2581, 0.9372)  6 As 2.96-3.22
Ca (0.0027, 0.2651, 0.5623)  6 As 2.95-3.07
Ca (0.0100, 0.2171, 0.3170)  6 As 2.97-3.11
Ca (0.9945, 0.7360, 0.4411)  6 As 2.98-3.10
Ca (0.5095, 0.2547, 0.4422)  6 As 2.98-3.17
Si (0.0271, 0.2079, 0.8679)  1 Si 2.34, 3 As 2.36-2.46
Si (0.4685, 0.7858, 0.3715)  1 Si 2.34, 3 As 2.35-2.43
Si (0.9692, 0.7845, 0.1290)  1 Si 2.35, 3 As 2.35-2.43
Si (0.5407, 0.2193, 0.6301)  1 Si 2.34, 3 As 2.35-2.50
Si (0.9258, 0.3243, 0.7587)  1 Si 2.34, 3 As 2.38-2.41
Si (0.5775, 0.6819, 0.2598)  1 Si 2.34, 3 As 2.39-2.41
Si (0.4249, 0.3215, 0.7403)  1 Si 2.34, 3 As 2.40-2.43
Si (0.0773, 0.6823, 0.2407)  1 Si 2.35, 3 As 2.40-2.41
Si (0.9954, 0.8392, 0.6801)  3 As 2.58-2.73

***

# 7
Entry from Alexandria: an optimized crystal structure of Ca2SiAs (PBE).

Unit cell a=3.3377 b=3.3377 c=8.2766 alpha=90.00 beta=90.00 gamma=90.00
Closest atoms and distances in Å follow each position.
Fractional coordinates of all 4 atoms:
As (0.5000, 0.5000, 0.7500)  8 Ca 3.13, 4 As 3.34
Si (0.5000, 0.5000, 0.2500)  8 Ca 3.15, 4 Si 3.34
Ca (0.0000, 0.0000, 0.5022)  4 As 3.13, 4 Si 3.15, 4 Ca 3.34
Ca (0.0000, 0.0000, 0.9978)  4 As 3.13, 4 Si 3.15, 4 Ca 3.34

E above lowest polymorph in eV per atom: 0.003

***

# 8
Entry from Alexandria: an optimized crystal structure of Ca2SiAs (PBE).

Unit cell a=3.9154 b=3.6124 c=7.5281 alpha=61.61 beta=90.00 gamma=90.00
Closest atoms and distances in Å follow each position.
Fractional coordinates of all 4 atoms:
Ca (0.0000, 0.4959, 0.5058)  4 As 3.11-3.12, 4 Si 3.16, 2 Ca 3.24-3.39
Ca (0.0000, 0.0041, 0.9942)  4 As 3.11-3.12, 4 Si 3.16, 2 Ca 3.24-3.39
As (0.5000, 0.7500, 0.7500)  8 Ca 3.11-3.12, 2 Si 3.31
Si (0.5000, 0.2500, 0.2500)  8 Ca 3.16, 2 As 3.31

E above lowest polymorph in eV per atom: 0.000

***

no.,ρ (g/cm3),formation energy (no corrections) (eV/atom),uncorrected energy (eV/atom)
1,4.21,0.0278,-4.25
2,3.30,1.0957,-3.18
3,3.16,-0.4385,-3.96
4,2.91,-0.3988,-3.92
5,3.22,-0.0419,-3.56
6,3.65,-0.7199,-4.75
7,3.30,-0.5556,-4.07
8,3.25,-0.5582,-4.08